Record 1
DFT (PBE-GGA) results for a relaxed Ac2Pr2Ga4Si crystal.

abc: 7.3533 7.3533 9.1025
angles: 90.00 90.00 90.00
Space group I4/mmm (No. 139)
Asymmetric unit:
Ac 0.0000 0.5000 0.2500
Pr 0.0000 0.0000 0.1894
Ga 0.2398 0.2398 0.5000
Si 0.0000 0.0000 0.5000

Formation energy without anion corrections (eV/f.u.): -3.1
DOS(E_F) (states/eV/atom): 0.690



Record 2
DFT (PBE-GGA) results for a relaxed AcPrGaSn crystal.

abc: 7.8626 7.8626 7.8626
angles: 90.00 90.00 90.00
Space group F-43m (No. 216)
Asymmetric unit:
Ac 0.0000 0.0000 0.0000
Pr 0.0000 0.0000 0.5000
Ga 0.2500 0.2500 0.7500
Sn 0.2500 0.2500 0.2500

E above lowest polymorph (meV/atom): 140
ΔE_f (eV per atom): -0.520
DOS(E_F) (states/eV/atom): 0.563



Record 3
DFT (PBE-GGA) results for a relaxed AcPr2Ga2Sn2 crystal.

abc: 4.7286 4.7286 32.1667
angles: 90.00 90.00 120.00
Space group R-3m (No. 166, hexagonal axes)
Asymmetric unit:
Ac 0.0000 0.0000 0.0000
Pr 0.0000 0.0000 0.1293
Ga 0.0000 0.0000 0.4214
Sn 0.0000 0.0000 0.2686

ΔE_f (eV per atom): -0.431
DOS(E_F) (states/eV/atom): 0.624



Record 4
DFT (PBE-GGA) results for a relaxed AcPrGaSn crystal.

abc: 4.3579 4.7580 12.0631
angles: 90.00 90.00 90.00
Space group Amm2 (No. 38)
Asymmetric unit:
Ac 0.0000 0.0000 0.0000
Pr 0.5000 0.0000 0.2812
Ga 0.5000 0.0000 0.5655
Sn 0.0000 0.0000 0.7168

E above lowest polymorph (meV/atom): 0
ΔE_f (eV per atom): -0.660
DOS(E_F) (states/eV/atom): 0.863



Record 5
DFT (PBE-GGA) results for a relaxed Ac3Pr3Tl2Ga crystal.

abc: 9.4040 9.4040 4.0331
angles: 90.00 90.00 120.00
Space group P-62m (No. 189)
Asymmetric unit:
Ac 0.0000 0.7344 0.0000
Pr 0.0000 0.3960 0.5000
Tl 0.3333 0.6667 0.0000
Ga 0.0000 0.0000 0.5000

ΔE_f (eV per atom): -0.260
DOS(E_F) (states/eV/atom): 1.204



Record 6
DFT (PBE-GGA) results for a relaxed AcPrZnGa crystal.

abc: 7.6465 7.6465 7.6465
angles: 90.00 90.00 90.00
Space group F-43m (No. 216)
Asymmetric unit:
Ac 0.0000 0.0000 0.0000
Pr 0.0000 0.0000 0.5000
Zn 0.2500 0.2500 0.7500
Ga 0.2500 0.2500 0.2500

ΔE_f (eV per atom): -0.373
DOS(E_F) (states/eV/atom): 1.058